(A)
Density functional theory data (PBE) for crystalline CdBiRu2 at its relaxed geometry.

a = 7.4354 Å, b = 7.4354 Å, c = 6.0072 Å
α = 51.77°, β = 51.77°, γ = 90.00°
Closest atoms and distances in Å follow each position.
Positions (direct):
Bi1 0.7500 0.2500 0.5000  4 Ru 2.68, 2 Cd 2.91
Bi2 0.0000 0.0000 0.0000  4 Ru 2.68, 2 Cd 2.91
Ru1 0.8750 0.8845 0.7500  2 Bi 2.68, 2 Cd 2.78, 2 Ru 2.91
Ru2 0.1155 0.6250 0.2500  2 Bi 2.68, 2 Cd 2.78, 2 Ru 2.91
Ru3 0.3750 0.3655 0.7500  2 Bi 2.68, 2 Cd 2.78, 2 Ru 2.91
Ru4 0.6345 0.1250 0.2500  2 Bi 2.68, 2 Cd 2.78, 2 Ru 2.91
Cd1 0.2500 0.7500 0.5000  4 Ru 2.78, 2 Bi 2.91
Cd2 0.5000 0.5000 0.0000  4 Ru 2.78, 2 Bi 2.91

Output
- Symmetry: I-42d

(B)
Density functional theory data (PBE) for crystalline CdBiRu2 at its relaxed geometry.

a = 4.6451 Å, b = 4.6451 Å, c = 4.6451 Å
α = 60.00°, β = 60.00°, γ = 60.00°
Closest atoms and distances in Å follow each position.
Positions (direct):
Bi1 0.5000 0.5000 0.5000  8 Ru 2.84
Ru1 0.2500 0.2500 0.2500  4 Cd 2.84, 4 Bi 2.84
Ru2 0.7500 0.7500 0.7500  4 Cd 2.84, 4 Bi 2.84
Cd1 0.0000 0.0000 0.0000  8 Ru 2.84

Output
- Symmetry: Fm-3m

In terms of stability, (B) leads; the second structure lies 0.503 eV/atom higher.

(A)
Density functional theory data (PBE) for crystalline CdBiS2 at its relaxed geometry.

a = 5.1308 Å, b = 5.5325 Å, c = 3.8545 Å
α = 90.00°, β = 106.83°, γ = 90.00°
Closest atoms and distances in Å follow each position.
Positions (direct):
S1 0.5752 0.5000 0.4552  2 Cd 2.68-2.72, 2 Bi 2.77
S2 0.1338 0.0000 0.7772  2 Bi 2.65-2.97, 2 Cd 2.78
Cd1 0.1905 0.5000 0.7989  4 S 2.68-2.78
Bi1 0.6005 0.0000 0.4687  4 S 2.65-2.97

Output
- Symmetry: Pm

(B)
Density functional theory data (PBE) for crystalline CdBiS2 at its relaxed geometry.

a = 4.9483 Å, b = 4.9483 Å, c = 4.9483 Å
α = 60.00°, β = 60.00°, γ = 60.00°
Closest atoms and distances in Å follow each position.
Positions (direct):
S1 0.7500 0.7500 0.7500  4 Bi 3.03, 4 Cd 3.03
S2 0.2500 0.2500 0.2500  4 Bi 3.03, 4 Cd 3.03
Cd1 0.0000 0.0000 0.0000  8 S 3.03
Bi1 0.5000 0.5000 0.5000  8 S 3.03

Output
- Symmetry: Fm-3m

In terms of stability, (A) leads; the second structure lies 0.190 eV/atom higher.

(A)
Density functional theory data (PBE) for crystalline CdBiS2 at its relaxed geometry.

a = 8.6063 Å, b = 8.6063 Å, c = 8.6063 Å
α = 25.62°, β = 25.62°, γ = 25.62°
Closest atoms and distances in Å follow each position.
Positions (direct):
Bi1 0.0000 0.0000 0.0000  2 S 2.67
Cd1 0.5000 0.5000 0.5000  6 S 2.66
S1 0.8929 0.8929 0.8929  3 Cd 2.66, 1 Bi 2.67
S2 0.1071 0.1071 0.1071  3 Cd 2.66, 1 Bi 2.67

Output
- Symmetry: R-3m

(B)
Density functional theory data (PBE) for crystalline CdBiS2 at its relaxed geometry.

a = 8.5864 Å, b = 8.5864 Å, c = 8.5864 Å
α = 27.65°, β = 27.65°, γ = 27.65°
Closest atoms and distances in Å follow each position.
Positions (direct):
Bi1 0.5000 0.5000 0.5000  6 S 2.85
S1 0.8971 0.8971 0.8971  1 Cd 2.55, 3 Bi 2.85
S2 0.1029 0.1029 0.1029  1 Cd 2.55, 3 Bi 2.85
Cd1 0.0000 0.0000 0.0000  2 S 2.55

Output
- Symmetry: R-3m

(C)
Density functional theory data (PBE) for crystalline CdBiS2 at its relaxed geometry.

a = 5.7770 Å, b = 5.7770 Å, c = 8.2297 Å
α = 69.45°, β = 69.45°, γ = 90.00°
Closest atoms and distances in Å follow each position.
Positions (direct):
S1 0.3750 0.3973 0.7500  2 Cd 2.65, 2 Bi 2.78
S2 0.6027 0.1250 0.2500  2 Cd 2.65, 2 Bi 2.78
S3 0.8750 0.8527 0.7500  2 Cd 2.65, 2 Bi 2.78
S4 0.1473 0.6250 0.2500  2 Cd 2.65, 2 Bi 2.78
Cd1 0.2500 0.7500 0.5000  4 S 2.65
Cd2 0.5000 0.5000 0.0000  4 S 2.65
Bi1 0.7500 0.2500 0.5000  4 S 2.78
Bi2 0.0000 0.0000 0.0000  4 S 2.78

Output
- Symmetry: I-42d

In terms of stability, (C) leads; the second structure lies 0.041 eV/atom higher.

(A)
Density functional theory data (PBE) for crystalline Cd3BiS at its relaxed geometry.

a = 5.1709 Å, b = 5.1709 Å, c = 5.1709 Å
α = 90.00°, β = 90.00°, γ = 90.00°
Closest atoms and distances in Å follow each position.
Positions (direct):
S1 0.0000 0.0000 0.0000  6 Cd 2.59
Cd1 0.5000 0.0000 0.0000  2 S 2.59
Cd2 0.0000 0.5000 0.0000  2 S 2.59
Cd3 0.0000 0.0000 0.5000  2 S 2.59
Bi1 0.5000 0.5000 0.5000  12 Cd 3.66

Output
- Symmetry: Pm-3m

(B)
Density functional theory data (PBE) for crystalline Cd3BiS at its relaxed geometry.

a = 5.6430 Å, b = 5.6430 Å, c = 5.6430 Å
α = 90.00°, β = 90.00°, γ = 90.00°
Closest atoms and distances in Å follow each position.
Positions (direct):
Bi1 0.0000 0.0000 0.0000  6 Cd 2.82
Cd1 0.0000 0.0000 0.5000  2 Bi 2.82
Cd2 0.5000 0.0000 0.0000  2 Bi 2.82
Cd3 0.0000 0.5000 0.0000  2 Bi 2.82
S1 0.5000 0.5000 0.5000  12 Cd 3.99

Output
- Symmetry: Pm-3m

In terms of stability, (A) leads; the second structure lies 0.330 eV/atom higher.

(A)
Density functional theory data (PBE) for crystalline CdBi2S at its relaxed geometry.

a = 5.1610 Å, b = 5.1610 Å, c = 10.2790 Å
α = 75.46°, β = 75.46°, γ = 90.00°
Closest atoms and distances in Å follow each position.
Positions (direct):
S1 0.5000 0.5000 0.0000  4 Bi 2.88
S2 0.2500 0.7500 0.5000  4 Bi 2.88
Bi1 0.8750 0.8034 0.7500  2 S 2.88, 2 Bi 3.17, 2 Cd 3.19
Bi2 0.1966 0.6250 0.2500  2 S 2.88, 2 Bi 3.17, 2 Cd 3.19
Bi3 0.3750 0.4466 0.7500  2 S 2.88, 2 Bi 3.17, 2 Cd 3.19
Bi4 0.5534 0.1250 0.2500  2 S 2.88, 2 Bi 3.17, 2 Cd 3.19
Cd1 0.0000 0.0000 0.0000  4 Bi 3.19
Cd2 0.7500 0.2500 0.5000  4 Bi 3.19

Output
- Symmetry: I-42d

(B)
Density functional theory data (PBE) for crystalline CdBi2S at its relaxed geometry.

a = 5.2467 Å, b = 5.2467 Å, c = 5.2467 Å
α = 60.00°, β = 60.00°, γ = 60.00°
Closest atoms and distances in Å follow each position.
Positions (direct):
Bi1 0.2500 0.2500 0.2500  4 S 3.21, 4 Cd 3.21
Bi2 0.7500 0.7500 0.7500  4 Cd 3.21, 4 S 3.21
Cd1 0.5000 0.5000 0.5000  8 Bi 3.21
S1 0.0000 0.0000 0.0000  8 Bi 3.21

Output
- Symmetry: Fm-3m

In terms of stability, (A) leads; the second structure lies 0.065 eV/atom higher.

(A)
Density functional theory data (PBE) for crystalline CdBi3S6 at its relaxed geometry.

a = 7.0223 Å, b = 7.0223 Å, c = 7.0594 Å
α = 114.81°, β = 114.81°, γ = 99.00°
Closest atoms and distances in Å follow each position.
Positions (direct):
S1 0.1052 0.1052 0.7302  1 S 2.49, 1 Cd 2.63, 1 Bi 2.78
S2 0.3751 0.3751 0.2698  1 S 2.49, 1 Cd 2.63, 1 Bi 2.78
S3 0.8948 0.8948 0.2698  1 S 2.49, 1 Cd 2.63, 1 Bi 2.78
S4 0.7535 0.2465 0.0000  1 Cd 2.63, 1 Bi 2.71
S5 0.2465 0.7535 0.0000  1 Cd 2.63, 1 Bi 2.71
S6 0.6249 0.6249 0.7302  1 S 2.49, 1 Cd 2.63, 1 Bi 2.78
Cd1 0.0000 0.0000 0.0000  6 S 2.63
Bi1 0.5000 0.5000 0.0000  6 S 2.71-2.78
Bi2 0.7500 0.2500 0.5000  4 S 2.95
Bi3 0.2500 0.7500 0.5000  4 S 2.95

Output
- Symmetry: Fmmm

(B)
Density functional theory data (PBE) for crystalline CdBi3S6 at its relaxed geometry.

a = 7.0498 Å, b = 7.0498 Å, c = 7.4386 Å
α = 61.71°, β = 61.71°, γ = 60.00°
Closest atoms and distances in Å follow each position.
Positions (direct):
S1 0.7336 0.0516 0.7448  3 Bi 2.75-2.86, 1 Cd 2.85
S2 0.4700 0.7336 0.7448  3 Bi 2.75-2.86, 1 Cd 2.85
S3 0.2346 0.9562 0.2600  1 Cd 2.65, 3 Bi 2.79-2.87
S4 0.5493 0.2346 0.2600  1 Cd 2.65, 3 Bi 2.79-2.87
S5 0.9562 0.5493 0.2600  1 Cd 2.65, 3 Bi 2.79-2.87
S6 0.0516 0.4700 0.7448  3 Bi 2.75-2.86, 1 Cd 2.85
Bi1 0.6509 0.6509 0.0473  6 S 2.79-2.87
Bi2 0.1481 0.1481 0.5557  6 S 2.79-2.86
Bi3 0.3484 0.3484 0.9548  6 S 2.75-2.83
Cd1 0.8573 0.8573 0.4280  6 S 2.65-2.85

Output
- Symmetry: R3

In terms of stability, (B) leads; the second structure lies 0.323 eV/atom higher.

(A)
Density functional theory data (PBE) for crystalline CdBi3S at its relaxed geometry.

a = 5.6302 Å, b = 5.6302 Å, c = 5.6302 Å
α = 90.00°, β = 90.00°, γ = 90.00°
Closest atoms and distances in Å follow each position.
Positions (direct):
S1 0.5000 0.5000 0.5000  12 Bi 3.98
Bi1 0.0000 0.5000 0.0000  2 Cd 2.82
Bi2 0.0000 0.0000 0.5000  2 Cd 2.82
Bi3 0.5000 0.0000 0.0000  2 Cd 2.82
Cd1 0.0000 0.0000 0.0000  6 Bi 2.82

Output
- Symmetry: Pm-3m

(B)
Density functional theory data (PBE) for crystalline CdBi3S at its relaxed geometry.

a = 5.4320 Å, b = 5.4320 Å, c = 5.4320 Å
α = 90.00°, β = 90.00°, γ = 90.00°
Closest atoms and distances in Å follow each position.
Positions (direct):
Bi1 0.0000 0.5000 0.0000  2 S 2.72
Bi2 0.5000 0.0000 0.0000  2 S 2.72
Bi3 0.0000 0.0000 0.5000  2 S 2.72
S1 0.0000 0.0000 0.0000  6 Bi 2.72
Cd1 0.5000 0.5000 0.5000  12 Bi 3.84

Output
- Symmetry: Pm-3m

In terms of stability, (B) leads; the second structure lies 0.486 eV/atom higher.

(A)
Density functional theory data (PBE) for crystalline Cd2Bi2Sb at its relaxed geometry.

a = 9.2661 Å, b = 9.2661 Å, c = 3.4386 Å
α = 90.00°, β = 90.00°, γ = 90.00°
Closest atoms and distances in Å follow each position.
Positions (direct):
Bi1 0.8013 0.6987 0.0000  2 Cd 3.06, 2 Sb 3.34
Bi2 0.6987 0.1987 0.0000  2 Cd 3.06, 2 Sb 3.34
Bi3 0.1987 0.3013 0.0000  2 Cd 3.06, 2 Sb 3.34
Bi4 0.3013 0.8013 0.0000  2 Cd 3.06, 2 Sb 3.34
Cd1 0.6084 0.8916 0.5000  1 Cd 2.84, 2 Bi 3.06
Cd2 0.3916 0.1084 0.5000  1 Cd 2.84, 2 Bi 3.06
Cd3 0.8916 0.3916 0.5000  1 Cd 2.84, 2 Bi 3.06
Cd4 0.1084 0.6084 0.5000  1 Cd 2.84, 2 Bi 3.06
Sb1 0.0000 0.0000 0.0000  4 Bi 3.34, 2 Sb 3.44
Sb2 0.5000 0.5000 0.0000  4 Bi 3.34, 2 Sb 3.44

Output
- Symmetry: P4/mbm

(B)
Density functional theory data (PBE) for crystalline Cd2Bi2Sb at its relaxed geometry.

a = 8.1407 Å, b = 8.1407 Å, c = 4.2801 Å
α = 90.00°, β = 90.00°, γ = 90.00°
Closest atoms and distances in Å follow each position.
Positions (direct):
Bi1 0.1829 0.6829 0.5000  6 Cd 3.08-3.33
Bi2 0.8171 0.3171 0.5000  6 Cd 3.08-3.33
Bi3 0.3171 0.1829 0.5000  6 Cd 3.08-3.33
Bi4 0.6829 0.8171 0.5000  6 Cd 3.08-3.33
Cd1 0.1252 0.3748 0.0000  1 Cd 2.88, 2 Bi 3.08, 2 Sb 3.22
Cd2 0.3748 0.8748 0.0000  1 Cd 2.88, 2 Bi 3.08, 2 Sb 3.22
Cd3 0.8748 0.6252 0.0000  1 Cd 2.88, 2 Bi 3.08, 2 Sb 3.22
Cd4 0.6252 0.1252 0.0000  1 Cd 2.88, 2 Bi 3.08, 2 Sb 3.22
Sb1 0.5000 0.5000 0.0000  4 Cd 3.22
Sb2 0.0000 0.0000 0.0000  4 Cd 3.22

Output
- Symmetry: P4/mbm

In terms of stability, (A) leads; the second structure lies 0.074 eV/atom higher.

(A)
Density functional theory data (PBE) for crystalline Sc3CdBi at its relaxed geometry.

a = 5.2623 Å, b = 5.2623 Å, c = 5.2623 Å
α = 90.00°, β = 90.00°, γ = 90.00°
Closest atoms and distances in Å follow each position.
Positions (direct):
Sc1 0.0000 0.5000 0.0000  2 Cd 2.63
Sc2 0.5000 0.0000 0.0000  2 Cd 2.63
Sc3 0.0000 0.0000 0.5000  2 Cd 2.63
Bi1 0.5000 0.5000 0.5000  12 Sc 3.72
Cd1 0.0000 0.0000 0.0000  6 Sc 2.63

Output
- Symmetry: Pm-3m

(B)
Density functional theory data (PBE) for crystalline Sc3CdBi at its relaxed geometry.

a = 5.4302 Å, b = 5.4302 Å, c = 5.4302 Å
α = 90.00°, β = 90.00°, γ = 90.00°
Closest atoms and distances in Å follow each position.
Positions (direct):
Sc1 0.0000 0.5000 0.0000  2 Bi 2.72
Sc2 0.5000 0.0000 0.0000  2 Bi 2.72
Sc3 0.0000 0.0000 0.5000  2 Bi 2.72
Bi1 0.0000 0.0000 0.0000  6 Sc 2.72
Cd1 0.5000 0.5000 0.5000  12 Sc 3.84

Output
- Symmetry: Pm-3m

In terms of stability, (A) leads; the second structure lies 0.172 eV/atom higher.

(A)
Density functional theory data (PBE) for crystalline CdBiSe at its relaxed geometry.

a = 4.2959 Å, b = 6.7221 Å, c = 13.7418 Å
α = 90.00°, β = 93.61°, γ = 90.00°
Closest atoms and distances in Å follow each position.
Positions (direct):
Bi1 0.0000 0.5616 0.5000  2 Se 2.99, 2 Bi 3.06
Bi2 0.5000 0.3849 0.0000  2 Cd 2.99, 2 Bi 3.06
Bi3 0.0000 0.0616 0.0000  2 Se 2.99, 2 Bi 3.06
Bi4 0.5000 0.8849 0.5000  2 Cd 2.99, 2 Bi 3.06
Cd1 0.6936 0.0517 0.6960  3 Se 2.69-2.71, 1 Bi 2.99
Cd2 0.6936 0.5517 0.1960  3 Se 2.69-2.71, 1 Bi 2.99
Cd3 0.3064 0.0517 0.3040  3 Se 2.69-2.71, 1 Bi 2.99
Cd4 0.3064 0.5517 0.8040  3 Se 2.69-2.71, 1 Bi 2.99
Se1 0.2119 0.9495 0.8045  3 Cd 2.69-2.71, 1 Bi 2.99
Se2 0.2119 0.4495 0.3045  3 Cd 2.69-2.71, 1 Bi 2.99
Se3 0.7881 0.4495 0.6955  3 Cd 2.69-2.71, 1 Bi 2.99
Se4 0.7881 0.9495 0.1955  3 Cd 2.69-2.71, 1 Bi 2.99

Output
- Symmetry: C2

(B)
Density functional theory data (PBE) for crystalline CdBiSe at its relaxed geometry.

a = 4.4884 Å, b = 6.3862 Å, c = 6.3796 Å
α = 81.38°, β = 72.32°, γ = 72.30°
Closest atoms and distances in Å follow each position.
Positions (direct):
Bi1 0.4728 0.7573 0.5194  2 Se 2.93, 2 Cd 3.20
Bi2 0.9724 0.4518 0.8243  2 Se 3.00, 2 Cd 3.02
Cd1 0.4637 0.3819 0.2431  2 Se 2.75-3.02, 1 Bi 3.02
Cd2 0.4821 0.0337 0.8947  2 Se 2.75-3.03, 1 Bi 3.02
Se1 0.9546 0.8013 0.0977  2 Cd 2.75-3.03, 2 Bi 2.93-3.00
Se2 0.9910 0.1789 0.4746  2 Cd 2.75-3.02, 2 Bi 2.93-3.00

Output
- Symmetry: C2

In terms of stability, (A) leads; the second structure lies 0.121 eV/atom higher.

(A)
Density functional theory data (PBE) for crystalline CdBiSe at its relaxed geometry.

a = 4.4299 Å, b = 6.3628 Å, c = 6.9380 Å
α = 72.00°, β = 85.62°, γ = 80.06°
Closest atoms and distances in Å follow each position.
Positions (direct):
Se1 0.1552 0.6795 0.1302  3 Cd 2.73-2.80, 1 Bi 2.98
Se2 0.8448 0.3205 0.8698  3 Cd 2.73-2.80, 1 Bi 2.98
Cd1 0.3370 0.2411 0.1126  3 Se 2.73-2.80, 1 Bi 3.05
Cd2 0.6630 0.7589 0.8874  3 Se 2.73-2.80, 1 Bi 3.05
Bi1 0.7143 0.1693 0.5230  1 Se 2.98, 2 Cd 3.05-3.28, 2 Bi 3.09-3.21
Bi2 0.2857 0.8307 0.4770  1 Se 2.98, 2 Cd 3.05-3.28, 2 Bi 3.09-3.21

Output
- Symmetry: P-1

(B)
Density functional theory data (PBE) for crystalline CdBiSe at its relaxed geometry.

a = 6.2299 Å, b = 3.8262 Å, c = 7.8406 Å
α = 90.00°, β = 111.63°, γ = 90.00°
Closest atoms and distances in Å follow each position.
Positions (direct):
Bi1 0.3516 0.5000 0.9917  1 Se 2.79, 1 Cd 2.95
Bi2 0.3516 0.0000 0.4917  1 Se 2.79, 1 Cd 2.95
Se1 0.9717 0.5000 0.0992  3 Cd 2.73-2.98, 1 Bi 2.79
Se2 0.9717 0.0000 0.5992  3 Cd 2.73-2.98, 1 Bi 2.79
Cd1 0.7230 0.5000 0.3586  3 Se 2.73-2.98, 1 Bi 2.95
Cd2 0.7230 0.0000 0.8586  3 Se 2.73-2.98, 1 Bi 2.95

Output
- Symmetry: Cm

(C)
Density functional theory data (PBE) for crystalline CdBiSe at its relaxed geometry.

a = 4.3379 Å, b = 6.9496 Å, c = 7.7234 Å
α = 101.52°, β = 93.88°, γ = 95.18°
Closest atoms and distances in Å follow each position.
Positions (direct):
Se1 0.1344 0.2792 0.0589  3 Cd 2.65-2.70
Se2 0.7492 0.8237 0.3158  3 Cd 2.67-2.75, 1 Bi 2.98
Cd1 0.1958 0.6778 0.1197  3 Se 2.69-2.75
Cd2 0.6100 0.0767 0.1108  3 Se 2.65-2.67
Bi1 0.3532 0.7272 0.7526  2 Bi 3.03-3.09, 2 Cd 3.04-3.35
Bi2 0.8988 0.0202 0.6960  2 Se 2.98-3.07, 2 Bi 3.03-3.09

Output
- Symmetry: P1

(D)
Density functional theory data (PBE) for crystalline CdBiSe at its relaxed geometry.

a = 4.0866 Å, b = 12.6277 Å, c = 6.7395 Å
α = 90.00°, β = 90.00°, γ = 90.00°
Closest atoms and distances in Å follow each position.
Positions (direct):
Se1 0.5000 0.8281 0.3667  3 Cd 2.77-2.87, 2 Bi 2.99
Se2 0.0000 0.6719 0.8667  3 Cd 2.77-2.87, 2 Bi 2.99
Se3 0.0000 0.3281 0.8667  3 Cd 2.77-2.87, 2 Bi 2.99
Se4 0.5000 0.1719 0.3667  3 Cd 2.77-2.87, 2 Bi 2.99
Bi1 0.5000 0.5000 0.3583  4 Cd 3.08, 1 Bi 3.09
Bi2 0.5000 0.5000 0.8998  4 Se 2.99, 1 Bi 3.09
Bi3 0.0000 0.0000 0.8583  4 Cd 3.08, 1 Bi 3.09
Bi4 0.0000 0.0000 0.3998  4 Se 2.99, 1 Bi 3.09
Cd1 0.5000 0.1753 0.9559  3 Se 2.77-2.87, 2 Bi 3.08
Cd2 0.0000 0.3247 0.4559  3 Se 2.77-2.87, 2 Bi 3.08
Cd3 0.0000 0.6753 0.4559  3 Se 2.77-2.87, 2 Bi 3.08
Cd4 0.5000 0.8247 0.9559  3 Se 2.77-2.87, 2 Bi 3.08

Output
- Symmetry: Imm2

In terms of stability, (D) leads; the second structure lies 0.007 eV/atom higher.